(1)
An optimized crystal structure of Ho2AlSiNi6, computed with GGA-PBE.

The structure in CIF format:
```
data_Ho2AlSiNi6
_cell_length_a 4.927
_cell_length_b 6.061
_cell_length_c 6.248
_cell_angle_alpha 81.63
_cell_angle_beta 66.79
_cell_angle_gamma 66.05
_symmetry_space_group_name_H-M 'P -1'
_symmetry_Int_Tables_number 2
loop_
_symmetry_equiv_pos_as_xyz
'x,y,z'
'-x,-y,-z'
loop_
_atom_site_label
_atom_site_fract_x
_atom_site_fract_y
_atom_site_fract_z
Ho1 0.040 0.208 0.211
Al1 0.500 0.500 0.000
Si1 0.500 0.000 0.500
Ni1 0.007 0.250 0.737
Ni2 0.335 0.414 0.414
Ni3 0.493 0.749 0.264
```

## Properties
Formation energy (no corrections)   -0.457 eV/atom
DFT total energy   -5.76 eV/atom
D(E_F)   5.67 states/eV/cell

(2)
An optimized crystal structure of Ca2TeN, computed with GGA-PBE.

The structure in CIF format:
```
data_Ca2TeN
_cell_length_a 7.358
_cell_length_b 7.358
_cell_length_c 7.116
_cell_angle_alpha 90.00
_cell_angle_beta 90.00
_cell_angle_gamma 90.00
_symmetry_space_group_name_H-M 'I -4 2 d'
_symmetry_Int_Tables_number 122
_symmetry_space_group_name_Hall 'I -4 2bw'
loop_
_atom_site_label
_atom_site_fract_x
_atom_site_fract_y
_atom_site_fract_z
Ca1 0.155 0.250 0.125
Te1 0.000 0.000 0.500
N1 0.000 0.000 0.000
```

## Properties
Polymorph energy (0 for the lowest one)   0.0 meV/atom
Formation energy (no corrections)   -0.829 eV/atom
DFT total energy   -4.70 eV/atom
D(E_F)   9.79 states/eV/cell

(3)
An optimized crystal structure of LaZnB, computed with GGA-PBE.

The structure in CIF format:
```
data_LaZnB
_cell_length_a 8.888
_cell_length_b 3.825
_cell_length_c 7.321
_cell_angle_alpha 90.00
_cell_angle_beta 90.00
_cell_angle_gamma 90.00
_symmetry_space_group_name_H-M 'P n m a'
_symmetry_Int_Tables_number 62
loop_
_symmetry_equiv_pos_as_xyz
'x,y,z'
'-x,-y,-z'
'-x+1/2,-y,z+1/2'
'x+1/2,y,-z+1/2'
'x+1/2,-y+1/2,-z+1/2'
'-x+1/2,y+1/2,z+1/2'
'-x,y+1/2,-z'
'x,-y+1/2,z'
loop_
_atom_site_label
_atom_site_fract_x
_atom_site_fract_y
_atom_site_fract_z
La1 0.224 0.250 0.066
Zn1 0.008 0.250 0.688
B1 0.085 0.250 0.403
```

## Properties
Polymorph energy (0 for the lowest one)   383.7 meV/atom
DFT total energy   -4.21 eV/atom
D(E_F)   10.29 states/eV/cell

(4)
An optimized crystal structure of HoTcP2, computed with GGA-PBE.

The structure in CIF format:
```
data_HoTcP2
_cell_length_a 4.0859
_cell_length_b 4.0859
_cell_length_c 13.9856
_cell_angle_alpha 90.00
_cell_angle_beta 90.00
_cell_angle_gamma 120.00
_symmetry_space_group_name_H-M 'R -3 m'
_symmetry_Int_Tables_number 166
_symmetry_space_group_name_Hall '-R 3 2"'
loop_
_atom_site_label
_atom_site_fract_x
_atom_site_fract_y
_atom_site_fract_z
Ho1 0.0000 0.0000 0.0000
Tc1 0.0000 0.0000 0.5000
P1 0.0000 0.0000 0.2175
```

## Properties
DFT total energy   -7.31 eV/atom
D(E_F)   3.20 states/eV/cell

(5)
An optimized crystal structure of UGaAu2, computed with GGA-PBE.

The structure in CIF format:
```
data_UGaAu2
_cell_length_a 5.626
_cell_length_b 2.963
_cell_length_c 5.640
_cell_angle_alpha 90.00
_cell_angle_beta 119.72
_cell_angle_gamma 90.00
_symmetry_space_group_name_H-M 'P 1 m 1'
_symmetry_Int_Tables_number 6
loop_
_symmetry_equiv_pos_as_xyz
'x,y,z'
'x,-y,z'
loop_
_atom_site_label
_atom_site_fract_x
_atom_site_fract_y
_atom_site_fract_z
U1 0.000 0.000 0.000
Ga1 0.500 0.500 0.000
Au1 0.499 0.500 0.501
Au2 0.999 0.500 0.499
```

## Properties
DFT total energy   -5.34 eV/atom
D(E_F)   5.85 states/eV/cell

(6)
An optimized crystal structure of AcNp2O11, computed with GGA-PBE.

The structure in CIF format:
```
data_AcNp2O11
_cell_length_a 11.025
_cell_length_b 13.734
_cell_length_c 6.800
_cell_angle_alpha 90.00
_cell_angle_beta 92.39
_cell_angle_gamma 90.00
_symmetry_space_group_name_H-M 'C 1 2 1'
_symmetry_Int_Tables_number 5
loop_
_symmetry_equiv_pos_as_xyz
'x,y,z'
'-x,y,-z'
'x+1/2,y+1/2,z'
'-x+1/2,y+1/2,-z'
loop_
_atom_site_label
_atom_site_fract_x
_atom_site_fract_y
_atom_site_fract_z
Ac1 0.000 0.000 0.000
Ac2 0.000 0.361 0.500
Np1 0.242 0.254 0.958
Np2 0.243 0.107 0.459
O1 0.120 0.203 0.437
O2 0.123 0.156 0.934
O3 0.128 0.518 0.537
O4 0.129 0.844 0.046
O5 0.141 0.335 0.792
O6 0.149 0.026 0.285
O7 0.168 0.986 0.714
O8 0.180 0.377 0.220
O9 0.180 0.684 0.829
O10 0.181 0.681 0.330
O11 0.214 0.896 0.672
```

## Properties
Formation energy (no corrections)   -2.149 eV/atom
DFT total energy   -8.19 eV/atom

Q: What is the DFT total energy in the third record?
A: -4.21 eV/atom

Q: What is the DFT total energy in the first record?
A: -5.76 eV/atom